DFT (PBE) results for a relaxed Cd4Hg7Pb crystal.

Cell lengths 4.7701, 4.7701, 15.9381 Å; angles 90.00, 90.00, 120.00 degrees
Sites, in units of the cell vectors:
Cd (0.3333, 0.6667, 0.1716)
Cd (0.3333, 0.6667, 0.4193)
Cd (0.6667, 0.3333, 0.5807)
Cd (0.6667, 0.3333, 0.8284)
Hg (0.0000, 0.0000, 0.2492)
Hg (0.0000, 0.0000, 0.5000)
Hg (0.0000, 0.0000, 0.7508)
Hg (0.3333, 0.6667, 0.6606)
Hg (0.3333, 0.6667, 0.9021)
Hg (0.6667, 0.3333, 0.0979)
Hg (0.6667, 0.3333, 0.3394)
Pb (0.0000, 0.0000, 0.0000)

DOS at the Fermi energy (states/eV per atom): 0.50
V (A^3/atom): 26.2
ΔE to the lowest computed polymorph (eV per atom): 0.017
Uncorrected energy (eV/atom): -0.745

---

DFT (PBE) results for a relaxed CaSn2F crystal.

Cell lengths 12.9739, 12.9739, 12.9739 Å; angles 162.10, 162.10, 25.42 degrees
Sites, in units of the cell vectors:
Ca (0.0000, 0.0000, 0.0000)
Ca (0.7500, 0.2500, 0.5000)
Sn (0.1218, 0.6250, 0.9968)
Sn (0.3750, 0.3718, 0.4968)
Sn (0.6282, 0.1250, 0.0032)
Sn (0.8750, 0.8782, 0.5032)
F (0.2500, 0.7500, 0.5000)
F (0.5000, 0.5000, 0.0000)

DOS at the Fermi energy (states/eV per atom): 0.43
V (A^3/atom): 25.8
ΔE to the lowest computed polymorph (eV per atom): 0.000
Uncorrected energy (eV/atom): -4.064
Energy relative to the elements, uncorrected (meV per atom): -1094

---

DFT (PBE) results for a relaxed Pm3CdTc crystal.

Cell lengths 9.3652, 6.5237, 10.5840 Å; angles 90.00, 117.92, 90.00 degrees
Sites, in units of the cell vectors:
Pm (0.1252, 0.0192, 0.3066)
Pm (0.1252, 0.4808, 0.8066)
Pm (0.2258, 0.5090, 0.5298)
Pm (0.2258, 0.9910, 0.0298)
Pm (0.3268, 0.0093, 0.7048)
Pm (0.3268, 0.4907, 0.2048)
Pm (0.6732, 0.5093, 0.7952)
Pm (0.6732, 0.9907, 0.2952)
Pm (0.7742, 0.0090, 0.9702)
Pm (0.7742, 0.4910, 0.4702)
Pm (0.8748, 0.5192, 0.1934)
Pm (0.8748, 0.9808, 0.6934)
Cd (0.4946, 0.7172, 0.9906)
Cd (0.4946, 0.7828, 0.4906)
Cd (0.5054, 0.2172, 0.5094)
Cd (0.5054, 0.2828, 0.0094)
Tc (0.0199, 0.1809, 0.5269)
Tc (0.0199, 0.3191, 0.0269)
Tc (0.9801, 0.6809, 0.9731)
Tc (0.9801, 0.8191, 0.4731)

DOS at the Fermi energy (states/eV per atom): 0.91
V (A^3/atom): 28.6
ΔE to the lowest computed polymorph (eV per atom): 0.000
Uncorrected energy (eV/atom): -5.189